Crystalline Cd4Rh3 at its relaxed geometry, computed with PBE.

Summary:
The space group is P6/mmm, No. 191. The calculation puts the energy relative to the lowest polymorph listed for this composition at 110 meV/atom. As for the total DFT energy (no corrections): -0.264 Ry per atom. For the formation enthalpy at 0 K, the calculation gives 85 meV per atom. The volume is 128 Å³/cell.

abc: 5.3153 5.3153 5.2471
angles: 90.00 90.00 120.00
Last column: nearest neighbours and their distance in Å.
Element x y z (fractional)
Cd1 0.0000 0.0000 0.7498  2 Cd 2.62-2.63
Cd2 0.0000 0.0000 0.2502  2 Cd 2.62-2.63
Cd3 0.6667 0.3333 0.5000  6 Rh 3.04, 9 Cd 3.07-3.34
Cd4 0.3333 0.6667 0.5000  6 Rh 3.04, 9 Cd 3.07-3.34
Rh1 0.5000 0.0000 0.0000  4 Rh 2.66, 4 Cd 2.96
Rh2 0.0000 0.5000 0.0000  4 Rh 2.66, 4 Cd 2.96
Rh3 0.5000 0.5000 0.0000  4 Rh 2.66, 4 Cd 2.96

=====

Crystalline NaCdRe2O8 at its relaxed geometry, computed with PBE.

Summary:
The space group is C2/m, No. 12. As for the total DFT energy (no corrections): -0.521 Ry per atom. The volume is 202 Å³/cell.

abc: 6.3402 6.3887 7.5764
angles: 50.16 65.27 60.25
Last column: nearest neighbours and their distance in Å.
Element x y z (fractional)
Na1 0.5000 0.5000 0.5000  2 O 2.27
O1 0.8574 0.9935 0.7476  1 Re 1.78
O2 0.8628 0.5180 0.7565  1 Re 1.77
O3 0.1372 0.4820 0.2435  1 Re 1.77
O4 0.1426 0.0065 0.2524  1 Re 1.78
O5 0.3553 0.4334 0.8561  1 Re 1.76
O6 0.5985 0.0065 0.2524  1 Re 1.78
O7 0.6447 0.5666 0.1439  1 Re 1.76
O8 0.4015 0.9935 0.7476  1 Re 1.78
Cd1 0.0000 0.0000 0.0000  6 O 2.40-2.46
Re1 0.3044 0.2296 0.1617  4 O 1.76-1.78
Re2 0.6956 0.7704 0.8383  4 O 1.76-1.78

=====

Crystalline CuTc2Hg at its relaxed geometry, computed with PBE.

Summary:
The space group is F-43m, No. 216. As for the total DFT energy (no corrections): -0.420 Ry per atom. For the formation enthalpy at 0 K, the calculation gives 568 meV per atom. The volume is 62 Å³/cell.

abc: 4.4518 4.4518 4.4518
angles: 60.00 60.00 60.00
Last column: nearest neighbours and their distance in Å.
Element x y z (fractional)
Tc1 0.0000 0.0000 0.0000  4 Tc 2.73, 4 Hg 2.73
Tc2 0.2500 0.2500 0.2500  4 Tc 2.73, 4 Cu 2.73
Hg1 0.7500 0.7500 0.7500  4 Cu 2.73, 4 Tc 2.73
Cu1 0.5000 0.5000 0.5000  4 Hg 2.73, 4 Tc 2.73

=====

Crystalline Ta2Ir at its relaxed geometry, computed with PBE.

Summary:
The space group is Cmcm, No. 63. As for the total DFT energy (no corrections): -0.823 Ry per atom. For the formation enthalpy at 0 K, the calculation gives -347 meV per atom. The volume is 203 Å³/cell.

abc: 4.3950 13.7046 3.3724
angles: 90.00 90.00 90.00
Last column: nearest neighbours and their distance in Å.
Element x y z (fractional)
Ta1 0.5000 0.4208 0.7500  4 Ta 2.75-2.90, 4 Ir 2.77
Ta2 0.0000 0.0792 0.2500  4 Ta 2.75-2.90, 4 Ir 2.77
Ta3 0.0000 0.2514 0.7500  2 Ir 2.75, 6 Ta 2.77-2.90
Ta4 0.0000 0.9208 0.7500  4 Ta 2.75-2.90, 4 Ir 2.77
Ta5 0.0000 0.7486 0.2500  2 Ir 2.75, 6 Ta 2.77-2.90
Ta6 0.5000 0.2486 0.2500  2 Ir 2.75, 6 Ta 2.77-2.90
Ta7 0.5000 0.7514 0.7500  2 Ir 2.75, 6 Ta 2.77-2.90
Ta8 0.5000 0.5792 0.2500  4 Ta 2.75-2.90, 4 Ir 2.77
Ir1 0.0000 0.4100 0.2500  6 Ta 2.75-2.77, 2 Ir 2.99
Ir2 0.5000 0.9100 0.2500  6 Ta 2.75-2.77, 2 Ir 2.99
Ir3 0.0000 0.5900 0.7500  6 Ta 2.75-2.77, 2 Ir 2.99
Ir4 0.5000 0.0900 0.7500  6 Ta 2.75-2.77, 2 Ir 2.99

=====

Crystalline CdFe2W at its relaxed geometry, computed with PBE.

Summary:
The space group is Imm2, No. 44. As for the total DFT energy (no corrections): -0.534 Ry per atom. For the formation enthalpy at 0 K, the calculation gives 431 meV per atom. The volume is 58 Å³/cell.

abc: 5.2834 5.2834 5.2834
angles: 148.71 129.85 60.31
Last column: nearest neighbours and their distance in Å.
Element x y z (fractional)
Cd1 0.2382 0.7382 0.5000  6 Fe 2.66-2.78, 2 Cd 2.85, 2 W 2.95
Fe1 0.9768 0.9768 0.0000  2 Fe 2.41, 4 W 2.68
Fe2 0.7644 0.2644 0.5000  2 Fe 2.41, 2 W 2.65, 4 Cd 2.66
W1 0.5205 0.5205 0.0000  6 Fe 2.65-2.68, 2 W 2.85, 2 Cd 2.95

=====

Crystalline Ho3ScBi3 at its relaxed geometry, computed with PBE.

Summary:
The space group is R-3, No. 148. As for the total DFT energy (no corrections): -0.378 Ry per atom. For the formation enthalpy at 0 K, the calculation gives -607 meV per atom. The volume is 430 Å³/cell.

abc: 8.9169 8.9169 8.0888
angles: 56.55 56.55 60.00
Last column: nearest neighbours and their distance in Å.
Element x y z (fractional)
Bi1 0.5189 0.3116 0.2500  5 Ho 3.10-3.34, 2 Sc 3.13-3.16
Bi2 0.3116 0.9195 0.2500  5 Ho 3.10-3.34, 2 Sc 3.13-3.16
Bi3 0.9195 0.5189 0.2500  5 Ho 3.10-3.34, 2 Sc 3.13-3.16
Bi4 0.0805 0.4811 0.7500  5 Ho 3.10-3.34, 2 Sc 3.13-3.16
Bi5 0.4811 0.6884 0.7500  5 Ho 3.10-3.34, 2 Sc 3.13-3.16
Bi6 0.6884 0.0805 0.7500  5 Ho 3.10-3.34, 2 Sc 3.13-3.16
Ho1 0.0830 0.8279 0.7558  5 Bi 3.10-3.34
Ho2 0.1721 0.6667 0.2442  5 Bi 3.10-3.34
Ho3 0.8279 0.3333 0.7558  5 Bi 3.10-3.34
Ho4 0.6667 0.9170 0.2442  5 Bi 3.10-3.34
Ho5 0.9170 0.1721 0.2442  5 Bi 3.10-3.34
Ho6 0.3333 0.0830 0.7558  5 Bi 3.10-3.34
Sc1 0.6665 0.6665 0.0006  6 Bi 3.13-3.16
Sc2 0.3335 0.3335 0.9994  6 Bi 3.13-3.16

=====

Crystalline In2GeBRh6 at its relaxed geometry, computed with PBE.

Summary:
The space group is Pmmn, No. 59. As for the total DFT energy (no corrections): -0.460 Ry per atom. For the formation enthalpy at 0 K, the calculation gives -169 meV per atom. The volume is 332 Å³/cell.

abc: 5.7294 6.8434 8.4686
angles: 90.00 90.00 90.00
Last column: nearest neighbours and their distance in Å.
Element x y z (fractional)
Rh1 0.0000 0.8161 0.2413  1 B 2.04
Rh2 0.7468 0.4030 0.5000  1 B 2.06
Rh3 0.2532 0.4030 0.5000  1 B 2.06
Rh4 0.0000 0.8161 0.7587  1 B 2.04
Rh5 0.5000 0.1839 0.2587  1 B 2.04
Rh6 0.7532 0.5970 0.0000  1 B 2.06
Rh7 0.2468 0.5970 0.0000  1 B 2.06
Rh8 0.2564 0.0245 0.0000  1 B 2.05
Rh9 0.5000 0.1839 0.7413  1 B 2.04
Rh10 0.7564 0.9755 0.5000  1 B 2.05
Rh11 0.7436 0.0245 0.0000  1 B 2.05
Rh12 0.2436 0.9755 0.5000  1 B 2.05
In1 0.0000 0.2343 0.7543  9 Rh 2.84-3.12
In2 0.0000 0.2343 0.2457  9 Rh 2.84-3.12
In3 0.5000 0.7657 0.7457  9 Rh 2.84-3.12
In4 0.5000 0.7657 0.2543  9 Rh 2.84-3.12
B1 0.0000 0.8156 0.0000  6 Rh 2.04-2.06
B2 0.5000 0.1844 0.5000  6 Rh 2.04-2.06
Ge1 0.5000 0.3233 0.0000  6 Rh 2.37-2.48
Ge2 0.0000 0.6767 0.5000  6 Rh 2.37-2.48

=====

Crystalline Tb2TmPaRu2 at its relaxed geometry, computed with PBE.

Summary:
The space group is Ibam, No. 72. As for the total DFT energy (no corrections): -0.535 Ry per atom. For the formation enthalpy at 0 K, the calculation gives -310 meV per atom. The volume is 308 Å³/cell.

abc: 6.7056 6.7431 8.3046
angles: 113.95 113.81 90.00
Last column: nearest neighbours and their distance in Å.
Element x y z (fractional)
Pa1 0.2500 0.5000 0.0000  4 Ru 2.60
Pa2 0.7500 0.5000 0.0000  4 Ru 2.60
Tb1 0.8071 0.5236 0.6143  2 Ru 2.82-3.13
Tb2 0.3071 0.0906 0.6143  2 Ru 2.82-3.13
Tb3 0.1929 0.4764 0.3857  2 Ru 2.82-3.13
Tb4 0.6929 0.9094 0.3857  2 Ru 2.82-3.13
Ru1 0.3970 0.6069 0.7939  2 Pa 2.60, 1 Tb 2.82
Ru2 0.1030 0.8130 0.2061  2 Pa 2.60, 1 Tb 2.82
Ru3 0.8970 0.1870 0.7939  2 Pa 2.60, 1 Tb 2.82
Ru4 0.6030 0.3931 0.2061  2 Pa 2.60, 1 Tb 2.82
Tm1 0.2500 0.0000 0.0000  4 Ru 2.93
Tm2 0.7500 0.0000 0.0000  4 Ru 2.93

=====

Crystalline CrReB at its relaxed geometry, computed with PBE.

Summary:
The space group is Cm, No. 8. The calculation puts the energy relative to the lowest polymorph listed for this composition at 0 meV/atom. As for the total DFT energy (no corrections): -0.728 Ry per atom. For the formation enthalpy at 0 K, the calculation gives -329 meV per atom. The volume is 128 Å³/cell.

abc: 5.3429 4.4637 7.5566
angles: 90.00 134.95 90.00
Last column: nearest neighbours and their distance in Å.
Element x y z (fractional)
B1 0.7484 0.7347 0.9553  1 B 2.10, 4 Cr 2.24-2.32, 4 Re 2.26-2.33
B2 0.7484 0.2653 0.9553  1 B 2.10, 4 Cr 2.24-2.32, 4 Re 2.26-2.33
B3 0.7484 0.7653 0.4553  1 B 2.10, 4 Cr 2.24-2.32, 4 Re 2.26-2.33
B4 0.7484 0.2347 0.4553  1 B 2.10, 4 Cr 2.24-2.32, 4 Re 2.26-2.33
Re1 0.2606 0.0000 0.7973  4 B 2.29-2.30, 1 Cr 2.52
Re2 0.2606 0.5000 0.2973  4 B 2.29-2.30, 1 Cr 2.52
Re3 0.9254 0.0000 0.2933  4 B 2.26-2.33, 1 Cr 2.52
Re4 0.9254 0.5000 0.7933  4 B 2.26-2.33, 1 Cr 2.52
Cr1 0.5905 0.5000 0.1307  4 B 2.27-2.28, 1 Re 2.52
Cr2 0.2503 0.0000 0.1259  4 B 2.24-2.32
Cr3 0.2503 0.5000 0.6259  4 B 2.24-2.32
Cr4 0.5905 0.0000 0.6307  4 B 2.27-2.28, 1 Re 2.52

=====

Crystalline Cd2PdCl6 at its relaxed geometry, computed with PBE.

Summary:
The space group is C2/c, No. 15. As for the total DFT energy (no corrections): -0.210 Ry per atom. The volume is 529 Å³/cell.

abc: 7.4118 9.1976 9.1976
angles: 72.78 67.77 67.77
Last column: nearest neighbours and their distance in Å.
Element x y z (fractional)
Cl1 0.2479 0.3321 0.9829  1 Pd 2.32
Cl2 0.3958 0.9181 0.2487  1 Pd 2.32, 1 Cd 2.54
Cl3 0.7479 0.9829 0.3321  1 Pd 2.32
Cl4 0.9286 0.2963 0.4023  2 Cd 2.48-2.56
Cl5 0.6042 0.0819 0.7513  1 Pd 2.32, 1 Cd 2.54
Cl6 0.1042 0.7513 0.0819  1 Pd 2.32, 1 Cd 2.54
Cl7 0.8958 0.2487 0.9181  1 Pd 2.32, 1 Cd 2.54
Cl8 0.7521 0.6679 0.0171  1 Pd 2.32
Cl9 0.5714 0.5977 0.7037  2 Cd 2.48-2.56
Cl10 0.2521 0.0171 0.6679  1 Pd 2.32
Cl11 0.0714 0.7037 0.5977  2 Cd 2.48-2.56
Cl12 0.4286 0.4023 0.2963  2 Cd 2.48-2.56
Pd1 0.7500 0.8277 0.1723  4 Cl 2.32
Pd2 0.2500 0.1723 0.8277  4 Cl 2.32
Cd1 0.3116 0.1641 0.3620  4 Cl 2.48-2.68
Cd2 0.8116 0.3620 0.1641  4 Cl 2.48-2.68
Cd3 0.1884 0.6380 0.8359  4 Cl 2.48-2.68
Cd4 0.6884 0.8359 0.6380  4 Cl 2.48-2.68

=====

Crystalline Li2SiCl at its relaxed geometry, computed with PBE.

Summary:
The space group is P4/mmm, No. 123. The calculation puts the energy relative to the lowest polymorph listed for this composition at 298 meV/atom. As for the total DFT energy (no corrections): -0.231 Ry per atom. The volume is 69 Å³/cell.

abc: 2.9696 4.8344 4.8344
angles: 90.00 90.00 90.00
Last column: nearest neighbours and their distance in Å.
Element x y z (fractional)
Li1 0.0000 0.0000 0.0000  4 Si 2.84, 4 Cl 2.84, 2 Li 2.97
Li2 0.0000 0.5000 0.5000  4 Cl 2.84, 4 Si 2.84, 2 Li 2.97
Si1 0.5000 0.5000 0.0000  8 Li 2.84, 2 Si 2.97
Cl1 0.5000 0.0000 0.5000  8 Li 2.84, 2 Cl 2.97

=====

Crystalline AcErAs at its relaxed geometry, computed with PBE.

Summary:
The space group is Cmcm, No. 63. The calculation puts the energy relative to the lowest polymorph listed for this composition at 0 meV/atom. As for the total DFT energy (no corrections): -0.394 Ry per atom. For the formation enthalpy at 0 K, the calculation gives -925 meV per atom. The volume is 182 Å³/cell.

abc: 4.2074 6.5514 9.5574
angles: 122.97 102.74 108.71
Last column: nearest neighbours and their distance in Å.
Element x y z (fractional)
Ac1 0.5379 0.8251 0.2501  3 As 3.32-3.64
Ac2 0.4621 0.1749 0.7499  3 As 3.32-3.64
As1 0.8308 0.4115 0.2500  4 Er 2.91
As2 0.1692 0.5885 0.7500  4 Er 2.91
Er1 0.0000 0.0000 0.0000  4 As 2.91
Er2 0.5000 0.5000 0.5000  4 As 2.91